1.
LaZnFe2 after structural relaxation, computed with PBE.

DFT total energy (eV/atom): -5.665
M_tot (μB/atom): 1.112
Energy of formation from the pure elements (eV per atom): 0.1166

extended XYZ file:
```
4
Lattice="3.1321 0.0147 0.0000 -0.0147 3.1321 0.0000 0.0000 0.0000 7.1919" Properties=species:S:1:pos:R:3 pbc="T T T"
Zn 1.5587 1.5734 5.8971
La 0.0000 0.0000 3.4498
Fe 0.0000 0.0000 0.1718
Fe 1.5587 1.5734 1.2692
```

***

2.
LaZnFe after structural relaxation, computed with PBE.

DFT total energy (eV/atom): -4.773
M_tot (μB/atom): 0.613
Energy of formation from the pure elements (eV per atom): 0.1147

extended XYZ file:
```
3
Lattice="5.8032 0.0095 0.0000 3.8049 4.3817 0.0000 -4.8040 -2.1956 2.4036" Properties=species:S:1:pos:R:3 pbc="T T T"
Zn 6.0111 2.7473 0.0000
La 3.2622 1.4910 0.0000
Fe 0.3348 0.1530 0.0000
```

***

3.
LaZn2Fe after structural relaxation, computed with PBE.

DFT total energy (eV/atom): -3.929
M_tot (μB/atom): 0.351
Energy of formation from the pure elements (eV per atom): 0.0558

extended XYZ file:
```
4
Lattice="4.4435 0.0000 0.0000 0.0000 3.9392 -0.0902 0.0000 1.8142 4.5680" Properties=species:S:1:pos:R:3 pbc="T T T"
Zn 0.0000 0.4952 0.2880
La 2.2217 4.3150 3.3584
Zn 0.0000 2.3815 1.9509
Fe 2.2217 1.4383 1.1195
```

***

4.
LaZn2Fe after structural relaxation, computed with PBE.

DFT total energy (eV/atom): -3.784
M_tot (μB/atom): 0.312
Energy of formation from the pure elements (eV per atom): 0.2006

extended XYZ file:
```
8
Lattice="-4.1778 -0.8894 1.5162 1.3617 -4.1098 1.3413 0.7419 0.7727 9.2723" Properties=species:S:1:pos:R:3 pbc="T T T"
Fe 0.3478 -2.9183 6.0212
Zn -0.2316 -2.1042 8.2899
La -2.4220 -1.3081 6.1086
Zn -1.4330 -0.7013 3.1349
La 0.0000 0.0000 0.0000
Zn -0.3081 -2.6617 3.6444
Fe -1.4081 -2.4996 1.4288
Zn -2.1757 -2.9857 9.1905
```

***

5.
LaZnFe2 after structural relaxation, computed with PBE.

DFT total energy (eV/atom): -5.589
M_tot (μB/atom): 0.933
Energy of formation from the pure elements (eV per atom): 0.1926

extended XYZ file:
```
4
Lattice="3.8642 0.0000 0.0000 0.0000 3.5610 -0.0235 0.0000 1.8147 5.3471" Properties=species:S:1:pos:R:3 pbc="T T T"
Fe 1.9321 0.6744 1.1014
Zn 1.9321 4.2577 4.6024
La 0.0000 2.4638 2.4442
Fe 0.0000 2.4823 5.1846
```

***

6.
LaZnFe2 after structural relaxation, computed with PBE.

DFT total energy (eV/atom): -5.563
M_tot (μB/atom): 1.088
Energy of formation from the pure elements (eV per atom): 0.2183

extended XYZ file:
```
4
Lattice="-2.2231 2.4521 -0.3834 -0.7301 -1.1400 -3.0445 -4.6132 -3.7878 2.5247" Properties=species:S:1:pos:R:3 pbc="T T T"
Fe -2.6660 -2.1890 1.4590
Fe -4.2538 -3.4927 2.3280
Zn -4.9365 -2.1848 0.1795
La -2.6299 -0.2909 -1.0828
```

***

7.
LaZn2Fe after structural relaxation, computed with PBE.

DFT total energy (eV/atom): -3.952
M_tot (μB/atom): 0.541
Energy of formation from the pure elements (eV per atom): 0.0325

extended XYZ file:
```
4
Lattice="-2.7250 0.2111 -1.3025 -1.4505 -1.6339 2.7698 -1.0106 6.1790 3.1157" Properties=species:S:1:pos:R:3 pbc="T T T"
La -2.8457 3.9228 3.0704
Zn -0.0691 0.4226 0.2131
Fe -2.3404 0.8333 1.5126
Zn -0.4362 2.6669 1.3448
```

***

8.
LaZn2Fe after structural relaxation, computed with PBE.

DFT total energy (eV/atom): -3.829
M_tot (μB/atom): 0.673
Energy of formation from the pure elements (eV per atom): 0.1556

extended XYZ file:
```
4
Lattice="-2.4362 4.0487 0.8311 -0.7871 -1.3957 4.5223 4.4795 0.2000 -1.7064" Properties=species:S:1:pos:R:3 pbc="T T T"
Zn 0.0000 0.0000 0.0000
La 0.2158 2.7876 0.9007
Zn 1.0404 0.0654 2.7463
Fe -1.6116 1.3265 2.6767
```

***

9.
LaZnFe2 after structural relaxation, computed with PBE.

DFT total energy (eV/atom): -5.506
M_tot (μB/atom): 0.949
Energy of formation from the pure elements (eV per atom): 0.2753

extended XYZ file:
```
4
Lattice="-0.2252 -2.5712 4.9106 -1.9498 -5.1901 0.1922 3.8432 3.4057 -2.0993" Properties=species:S:1:pos:R:3 pbc="T T T"
Fe 1.1696 -1.8644 2.9058
Fe -2.1277 -7.5925 4.9918
La -1.1045 -3.9412 2.5912
Zn 0.4682 -2.5996 0.1690
```

***

10.
La2ZnFe after structural relaxation, computed with PBE.

DFT total energy (eV/atom): -4.882
M_tot (μB/atom): 0.233
Energy of formation from the pure elements (eV per atom): 0.0154

extended XYZ file:
```
4
Lattice="-1.5844 0.7065 -7.0649 2.4181 -0.8167 -6.8123 -0.9202 -3.4673 -6.3287" Properties=species:S:1:pos:R:3 pbc="T T T"
Zn -0.0396 -1.6365 -9.2427
La -0.0030 -0.1228 -0.6937
La -0.0186 -0.7695 -4.3463
Fe -0.0686 -2.8375 -16.0261
```

***

11.
LaZnFe after structural relaxation, computed with PBE.

DFT total energy (eV/atom): -4.075
M_tot (μB/atom): 0.764
Energy of formation from the pure elements (eV per atom): 0.8129

extended XYZ file:
```
3
Lattice="4.8489 0.0000 0.0000 2.4245 4.1993 0.0000 2.4245 1.3998 3.9591" Properties=species:S:1:pos:R:3 pbc="T T T"
La 7.2734 4.1993 2.9693
Zn 0.0000 0.0000 0.0000
Fe 4.8489 2.7995 1.9796
```

***

12.
La2ZrFe after structural relaxation, computed with PBE.

DFT total energy (eV/atom): -6.290
M_tot (μB/atom): 0.709
ΔE to the lowest computed polymorph (eV/atom): 0.3153
Energy of formation from the pure elements (eV per atom): 0.4261

extended XYZ file:
```
4
Lattice="-1.1708 0.0595 -5.7070 -5.2843 -2.1247 -1.2273 1.9695 3.9946 3.7561" Properties=species:S:1:pos:R:3 pbc="T T T"
Fe -1.2145 1.5107 -2.7090
Zr -3.2275 -1.0326 -3.4671
La 0.0000 0.0000 0.0000
La -3.2712 0.4186 -0.4691
```

***

13.
LaZr2Fe after structural relaxation, computed with PBE.

DFT total energy (eV/atom): -7.244
M_tot (μB/atom): 0.901
ΔE to the lowest computed polymorph (eV/atom): 0.3329
Energy of formation from the pure elements (eV per atom): 0.3774

extended XYZ file:
```
4
Lattice="5.0206 0.0000 0.0000 2.5103 4.3480 0.0000 2.5103 1.4493 4.0993" Properties=species:S:1:pos:R:3 pbc="T T T"
Zr 2.5103 1.4493 1.0248
La 7.5309 4.3480 3.0745
Zr 0.0000 0.0000 0.0000
Fe 5.0206 2.8986 2.0496
```

***

14.
LaZr2Fe after structural relaxation, computed with PBE.

DFT total energy (eV/atom): -7.481
M_tot (μB/atom): 0.001
ΔE to the lowest computed polymorph (eV/atom): 0.0962
Energy of formation from the pure elements (eV per atom): 0.1407

extended XYZ file:
```
4
Lattice="5.8347 0.0023 -0.0007 4.8698 3.2139 -0.0007 2.2406 0.6732 4.8643" Properties=species:S:1:pos:R:3 pbc="T T T"
Zr 10.7469 3.2290 0.1497
Zr 2.8264 0.8492 1.6755
La 10.2022 3.0653 3.6158
Fe 6.3466 1.9069 1.8518
```

***

15.
LaZr2Fe after structural relaxation, computed with PBE.

DFT total energy (eV/atom): -7.271
M_tot (μB/atom): 0.355
ΔE to the lowest computed polymorph (eV/atom): 0.3062
Energy of formation from the pure elements (eV per atom): 0.3508

extended XYZ file:
```
4
Lattice="3.4046 0.0000 0.0000 0.0000 5.1726 0.0000 0.0000 0.0000 5.0669" Properties=species:S:1:pos:R:3 pbc="T T T"
Zr 0.0000 0.0000 0.0000
La 0.0000 2.5863 2.5334
Fe 1.7023 0.0000 2.5334
Zr 1.7023 2.5863 0.0000
```

***

16.
La2ZrFe after structural relaxation, computed with PBE.

DFT total energy (eV/atom): -6.557
M_tot (μB/atom): 0.000
ΔE to the lowest computed polymorph (eV/atom): 0.0490
Energy of formation from the pure elements (eV per atom): 0.1598

extended XYZ file:
```
4
Lattice="6.2604 -0.0089 0.0091 2.8712 5.5632 -0.0091 -3.8740 -3.9146 2.9768" Properties=species:S:1:pos:R:3 pbc="T T T"
La 0.4523 0.2751 0.0000
Zr 3.9591 2.4081 0.0000
Fe 1.9570 2.3195 1.4839
La 3.4551 -0.5860 1.4929
```

***

17.
LaZr2Fe after structural relaxation, computed with PBE.

DFT total energy (eV/atom): -6.645
M_tot (μB/atom): 0.000
ΔE to the lowest computed polymorph (eV/atom): 0.9320
Energy of formation from the pure elements (eV per atom): 0.9766

extended XYZ file:
```
8
Lattice="-1.1680 -1.3563 6.6175 4.0825 -5.4922 -0.4051 5.8371 -0.2732 4.5250" Properties=species:S:1:pos:R:3 pbc="T T T"
Fe 1.4573 -3.4242 3.1062
La 0.0000 0.0000 0.0000
Zr 1.5323 -1.2626 3.5582
La 3.0632 -2.5269 7.1243
Zr 5.9050 -4.8210 8.9311
Zr 3.5721 -4.0103 3.3636
Zr 6.4938 -4.1494 5.6219
Fe 5.6884 -4.5948 3.6130
```

***

18.
LaZrFe after structural relaxation, computed with PBE.

DFT total energy (eV/atom): -7.028
M_tot (μB/atom): 0.000
ΔE to the lowest computed polymorph (eV/atom): 0.1599
Energy of formation from the pure elements (eV per atom): 0.2849

extended XYZ file:
```
3
Lattice="4.6269 0.0000 0.0000 2.3135 4.0070 0.0000 2.3135 1.3357 3.7778" Properties=species:S:1:pos:R:3 pbc="T T T"
La 0.0000 0.0000 0.0000
Fe 6.9404 4.0070 2.8334
Zr 4.6269 2.6713 1.8889
```

***

19.
La2ZrFe after structural relaxation, computed with PBE.

DFT total energy (eV/atom): -6.153
M_tot (μB/atom): 0.211
ΔE to the lowest computed polymorph (eV/atom): 0.4525
Energy of formation from the pure elements (eV per atom): 0.5633

extended XYZ file:
```
4
Lattice="3.6943 -3.6311 0.2058 -1.2904 -4.9751 0.6769 0.5405 -3.3719 -3.9005" Properties=species:S:1:pos:R:3 pbc="T T T"
Zr 1.4722 -5.9891 -1.5089
Fe 0.0000 0.0000 0.0000
La 2.2083 -8.9836 -2.2633
La 0.7361 -2.9945 -0.7544
```

***

20.
LaZr2Fe after structural relaxation, computed with PBE.

DFT total energy (eV/atom): -7.226
M_tot (μB/atom): 0.693
ΔE to the lowest computed polymorph (eV/atom): 0.3506
Energy of formation from the pure elements (eV per atom): 0.3951

extended XYZ file:
```
4
Lattice="4.3854 0.4256 0.0000 -0.4301 4.3850 0.0000 0.0000 0.0000 4.6979" Properties=species:S:1:pos:R:3 pbc="T T T"
Zr 1.9777 2.4053 0.0000
La -0.2150 2.1925 2.3490
Fe 2.1927 0.2128 2.3490
Zr 0.0000 0.0000 0.0000
```

***

21.
LaZr2Fe after structural relaxation, computed with PBE.

DFT total energy (eV/atom): -7.444
M_tot (μB/atom): 0.000
ΔE to the lowest computed polymorph (eV/atom): 0.1326
Energy of formation from the pure elements (eV per atom): 0.1771

extended XYZ file:
```
4
Lattice="-1.1721 -7.7067 3.0226 -0.5807 -8.3154 -0.6475 2.3444 -7.8477 1.6794" Properties=species:S:1:pos:R:3 pbc="T T T"
La 0.4437 -17.9023 3.0409
Zr 0.5733 -23.1283 3.9286
Fe 0.1479 -5.9674 1.0136
Zr 0.3142 -12.6763 2.1532
```

***

22.
La2ZrFe after structural relaxation, computed with PBE.

DFT total energy (eV/atom): -6.430
M_tot (μB/atom): 0.599
ΔE to the lowest computed polymorph (eV/atom): 0.1757
Energy of formation from the pure elements (eV per atom): 0.2865

extended XYZ file:
```
4
Lattice="-3.0340 -0.1492 1.7836 1.7897 -0.2933 3.0198 0.0489 8.3216 0.7794" Properties=species:S:1:pos:R:3 pbc="T T T"
La 0.0263 4.4707 0.4187
Fe -0.5854 6.0199 2.9862
Zr -0.6099 1.8591 2.5965
La 0.0471 8.0118 0.7503
```

***

23.
La2ZrFe after structural relaxation, computed with PBE.

DFT total energy (eV/atom): -6.278
M_tot (μB/atom): 0.000
ΔE to the lowest computed polymorph (eV/atom): 0.3281
Energy of formation from the pure elements (eV per atom): 0.4389

extended XYZ file:
```
8
Lattice="9.8995 0.0000 0.0000 0.0000 9.8995 0.0000 4.9497 4.9497 2.4592" Properties=species:S:1:pos:R:3 pbc="T T T"
Fe 4.9497 4.9497 0.0000
La 3.9046 7.4246 0.6148
Zr 0.0000 0.0000 0.0000
La 5.9949 2.4749 0.6148
La 12.3743 10.9446 1.8444
Zr 9.8995 4.9497 1.2296
La 7.4246 8.8543 1.8444
Fe 4.9497 9.8995 1.2296
```

***

24.
LaZr2Fe after structural relaxation, computed with PBE.

DFT total energy (eV/atom): -7.244
M_tot (μB/atom): 0.567
ΔE to the lowest computed polymorph (eV/atom): 0.3334
Energy of formation from the pure elements (eV per atom): 0.3780

extended XYZ file:
```
4
Lattice="5.7118 -0.3006 0.0000 2.7617 5.0087 0.0000 -4.2367 -2.3541 3.0369" Properties=species:S:1:pos:R:3 pbc="T T T"
Zr 0.0000 0.0000 0.0000
Fe 1.3809 2.5044 1.5185
La 2.8559 -0.1503 1.5185
Zr 4.2367 2.3541 0.0000
```

***

25.
LaZr2Fe after structural relaxation, computed with PBE.

DFT total energy (eV/atom): -7.577
M_tot (μB/atom): 0.118
ΔE to the lowest computed polymorph (eV/atom): 0.0000
Energy of formation from the pure elements (eV per atom): 0.0446

extended XYZ file:
```
4
Lattice="3.2748 0.0171 0.0000 -0.0170 3.2748 0.0000 0.0000 0.0000 8.3115" Properties=species:S:1:pos:R:3 pbc="T T T"
Zr 0.0000 0.0000 0.5719
Zr 0.0000 0.0000 3.5839
La 1.6289 1.6459 6.2337
Fe 1.6289 1.6459 2.0779
```

***

26.
La2ZrFe after structural relaxation, computed with PBE.

DFT total energy (eV/atom): -6.254
M_tot (μB/atom): 0.443
ΔE to the lowest computed polymorph (eV/atom): 0.3515
Energy of formation from the pure elements (eV per atom): 0.4623

extended XYZ file:
```
4
Lattice="-3.0785 -0.5206 1.5522 2.4914 -0.5593 4.7535 -0.4456 5.1305 0.8371" Properties=species:S:1:pos:R:3 pbc="T T T"
Zr -1.7620 2.3049 1.1947
La -0.2935 -0.5399 3.1529
Fe 1.0229 2.2856 2.7953
La 0.0000 0.0000 0.0000
```

***

27.
LaZr2Fe after structural relaxation, computed with PBE.

DFT total energy (eV/atom): -7.520
M_tot (μB/atom): 0.390
ΔE to the lowest computed polymorph (eV/atom): 0.0573
Energy of formation from the pure elements (eV per atom): 0.1018

extended XYZ file:
```
4
Lattice="-2.1776 -0.7506 -2.4226 -0.3909 -3.0561 1.2967 -6.1459 2.7665 4.6672" Properties=species:S:1:pos:R:3 pbc="T T T"
Fe -2.8080 1.2640 2.1324
La -5.6259 0.0510 2.7341
Zr -3.0795 -1.0953 0.8003
Zr -0.2740 0.1233 0.2081
```

***

28.
LaZr3Fe after structural relaxation, computed with PBE.

DFT total energy (eV/atom): -7.683
M_tot (μB/atom): 0.000
ΔE to the lowest computed polymorph (eV/atom): 0.0000
Energy of formation from the pure elements (eV per atom): 0.1235

extended XYZ file:
```
5
Lattice="4.9773 0.0000 0.0000 0.0000 4.9773 0.0000 0.0000 0.0000 4.9773" Properties=species:S:1:pos:R:3 pbc="T T T"
Fe 0.0000 0.0000 0.0000
Zr 0.0000 0.0000 2.4887
Zr 2.4887 0.0000 0.0000
La 2.4887 2.4887 2.4887
Zr 0.0000 2.4887 0.0000
```

***

29.
La2ZrFe after structural relaxation, computed with PBE.

DFT total energy (eV/atom): -6.530
M_tot (μB/atom): 0.000
ΔE to the lowest computed polymorph (eV/atom): 0.0753
Energy of formation from the pure elements (eV per atom): 0.1861

extended XYZ file:
```
4
Lattice="9.2323 -0.0271 -0.0161 8.4548 3.7084 -0.0161 8.4548 1.7598 3.2644" Properties=species:S:1:pos:R:3 pbc="T T T"
La 6.1977 1.2900 0.7663
Zr 12.3416 2.5687 1.5259
Fe 19.8438 4.1302 2.4535
La 0.8301 0.1728 0.1026
```

***

30.
LaZrFe after structural relaxation, computed with PBE.

DFT total energy (eV/atom): -6.176
M_tot (μB/atom): 0.422
ΔE to the lowest computed polymorph (eV/atom): 1.0115
Energy of formation from the pure elements (eV per atom): 1.1365

extended XYZ file:
```
3
Lattice="-0.6573 -0.8759 -4.4919 -1.4375 -4.1805 -1.3539 -4.2857 -0.5502 -1.6450" Properties=species:S:1:pos:R:3 pbc="T T T"
Fe -3.1902 -2.8033 -3.7454
La -4.7853 -4.2050 -5.6181
Zr 0.0000 0.0000 0.0000
```